No. 1
BaNa4Cl6 after structural relaxation, computed with PBE-GGA.

Results
Its space-group type is Cmcm, No. 63. The uncorrected formation energy comes out at -1984 meV per atom. Its total moment is 0.0 μB/f.u.

Unit cell a=4.1918 b=6.9724 c=20.3189 alpha=90.00 beta=90.00 gamma=107.49
Last column: nearest neighbours and their distance in Å.
Element x y z (fractional)
Cl  0.9528  0.9056  0.8392  3 Na 2.76-2.93
Cl  0.7696  0.5392  0.0870  5 Na 2.84-2.89
Na  0.5952  0.1904  0.6234  6 Cl 2.77-2.93
Na  0.1390  0.2779  0.0391  6 Cl 2.76-2.91
Na  0.8610  0.7221  0.5391  6 Cl 2.76-2.91
Cl  0.5000  0.0000  0.0000  6 Na 2.81-2.91
Cl  0.2304  0.4608  0.5870  5 Na 2.84-2.89
Cl  0.9528  0.9056  0.6608  3 Na 2.76-2.93
Cl  0.7696  0.5392  0.4130  5 Na 2.84-2.89
Cl  0.5000  0.0000  0.5000  6 Na 2.81-2.91
Na  0.8610  0.7221  0.9609  6 Cl 2.76-2.91
Na  0.1390  0.2779  0.4609  6 Cl 2.76-2.91
Ba  0.3395  0.6790  0.7500  6 Cl 3.06-3.15
Na  0.4048  0.8096  0.1234  6 Cl 2.77-2.93
Cl  0.6721  0.3442  0.7500  2 Na 2.77, 2 Ba 3.06
Cl  0.2304  0.4608  0.9130  5 Na 2.84-2.89
Na  0.4048  0.8096  0.3766  6 Cl 2.77-2.93
Cl  0.0472  0.0944  0.3392  3 Na 2.76-2.93
Na  0.5952  0.1904  0.8766  6 Cl 2.77-2.93
Cl  0.0472  0.0944  0.1608  3 Na 2.76-2.93
Ba  0.6605  0.3210  0.2500  6 Cl 3.06-3.15
Cl  0.3279  0.6558  0.2500  2 Na 2.77, 2 Ba 3.06

***

No. 2
LaHo4In2 after structural relaxation, computed with PBE-GGA.

Results
For the formation energy, the calculation gives 0.046 eV per atom. Its space-group type is R-3m, No. 166. Its total moment is 0.0 μB/f.u. The energy above the most stable polymorph in this dataset comes out at 0.184 eV/atom.

Unit cell a=5.0935 b=5.0935 c=10.9335 alpha=76.53 beta=76.53 gamma=60.00
Last column: nearest neighbours and their distance in Å.
Element x y z (fractional)
In  0.6019  0.6019  0.1943  7 Ho 3.07-3.23, 1 La 3.22
Ho  0.2964  0.2964  0.1108  4 In 3.07-3.21
Ho  0.8931  0.8931  0.3206  3 In 3.23, 3 La 3.50
Ho  0.1069  0.1069  0.6794  3 In 3.23, 3 La 3.50
La  0.5000  0.5000  0.5000  2 In 3.22, 6 Ho 3.50
Ho  0.7036  0.7036  0.8892  4 In 3.07-3.21
In  0.3981  0.3981  0.8057  7 Ho 3.07-3.23, 1 La 3.22

***

No. 3
Ce4NO3 after structural relaxation, computed with PBE-GGA.

Results
Its space-group type is Pm-3m, No. 221. The uncorrected formation energy comes out at -2568 meV per atom. Its total moment is 0.0 μB/f.u.

Unit cell a=4.9929 b=4.9929 c=4.9929 alpha=90.00 beta=90.00 gamma=90.00
Last column: nearest neighbours and their distance in Å.
Element x y z (fractional)
O  0.0000  0.5000  0.5000  6 Ce 2.50
N  0.0000  0.0000  0.0000  6 Ce 2.50
Ce  0.0000  0.0000  0.5000  4 O 2.50, 2 N 2.50
Ce  0.5000  0.0000  0.0000  4 O 2.50, 2 N 2.50
Ce  0.0000  0.5000  0.0000  4 O 2.50, 2 N 2.50
Ce  0.5000  0.5000  0.5000  6 O 2.50
O  0.5000  0.5000  0.0000  6 Ce 2.50
O  0.5000  0.0000  0.5000  6 Ce 2.50

***

No. 4
SbPd2AuI after structural relaxation, computed with PBE-GGA.

Results
Its space-group type is P4/mmm, No. 123. The uncorrected formation energy comes out at 795 meV per atom. Its total moment is 0.0 μB/f.u.

Unit cell a=5.1185 b=5.2574 c=5.1185 alpha=90.00 beta=90.00 gamma=90.00
Last column: nearest neighbours and their distance in Å.
Element x y z (fractional)
Au  0.0000  0.0000  0.0000  4 Pd 2.56, 2 I 2.63
Pd  0.0000  0.0000  0.5000  2 Au 2.56
Pd  0.5000  0.0000  0.0000  2 Au 2.56
I  0.0000  0.5000  0.0000  2 Au 2.63
Sb  0.5000  0.5000  0.5000  4 I 3.62, 8 Pd 3.67

***

No. 5
K2Al2Cd after structural relaxation, computed with PBE-GGA.

Results
For the formation energy, the calculation gives 0.378 eV per atom. Its space-group type is P4/mbm, No. 127. Its total moment is 0.0 μB/f.u. The energy above the most stable polymorph in this dataset comes out at 0.185 eV/atom.

Unit cell a=10.5347 b=10.5347 c=3.0787 alpha=90.00 beta=90.00 gamma=90.00
Last column: nearest neighbours and their distance in Å.
Element x y z (fractional)
K  0.2982  0.7982  0.0000  2 K 3.08
Cd  0.0000  0.0000  0.0000  2 Cd 3.08
K  0.7018  0.2018  0.0000  2 K 3.08
Al  0.5876  0.9124  0.5000  1 Al 2.61
Al  0.0876  0.5876  0.5000  1 Al 2.61
K  0.2018  0.2982  0.0000  2 K 3.08
K  0.7982  0.7018  0.0000  2 K 3.08
Al  0.4124  0.0876  0.5000  1 Al 2.61
Al  0.9124  0.4124  0.5000  1 Al 2.61
Cd  0.5000  0.5000  0.0000  2 Cd 3.08

***

No. 6
PuHf2 after structural relaxation, computed with PBE-GGA.

Results
For the formation energy, the calculation gives 0.112 eV per atom. Its space-group type is C2/m, No. 12. Its total moment is 5.2 μB/f.u. The energy above the most stable polymorph in this dataset comes out at 0.007 eV/atom.

Unit cell a=3.1599 b=7.6809 c=6.1108 alpha=103.92 beta=104.98 gamma=90.00
Last column: nearest neighbours and their distance in Å.
Element x y z (fractional)
Hf  0.6546  0.3221  0.3093  5 Pu 3.06-3.30, 7 Hf 3.11-3.19
Pu  0.3907  0.2836  0.7814  9 Hf 3.06-3.30, 3 Pu 3.15-3.16
Hf  0.7241  0.9575  0.4482  8 Hf 3.11-3.19, 4 Pu 3.19-3.28
Hf  0.9981  0.9869  0.9963  8 Hf 3.11-3.19, 4 Pu 3.19-3.28
Pu  0.3315  0.6609  0.6630  9 Hf 3.06-3.30, 3 Pu 3.15-3.16
Hf  0.0676  0.6224  0.1352  5 Pu 3.06-3.30, 7 Hf 3.11-3.19

***

Computed energy (Ry/atom) in order:
-0.2680; -0.2981; -0.6199; -0.2258; -0.1280; -0.8306